1.
# PBE Cs3AgSe, relaxed
data_Cs3AgSe
_chemical_formula_sum 'Cs6 Ag2 Se2'
_symmetry_space_group_name_H-M 'P -1'
_symmetry_Int_Tables_number 2
_symmetry_space_group_name_Hall '-P 1'
_cell_length_a 5.4759
_cell_length_b 9.5026
_cell_length_c 10.3164
_cell_angle_alpha 84.40
_cell_angle_beta 89.82
_cell_angle_gamma 89.95
loop_
_atom_site_label
_atom_site_fract_x
_atom_site_fract_y
_atom_site_fract_z
Cs1 0.2489 0.3567 0.1102
Cs2 0.2501 0.0323 0.8296
Cs3 0.2503 0.6942 0.4184
Ag1 0.2503 0.0662 0.4706
Se1 0.2490 0.7401 0.0845
# **Uncorrected formation energy**: -0.587 eV/atom
# **Magnetization**: 0.00 μB per atom


2.
# PBE CsSiAgSe3, relaxed
data_CsSiAgSe3
_chemical_formula_sum 'Cs4 Si4 Ag4 Se12'
_symmetry_space_group_name_H-M 'C 1 2/m 1'
_symmetry_Int_Tables_number 12
_symmetry_space_group_name_Hall '-C 2y'
_cell_length_a 13.5272
_cell_length_b 7.6758
_cell_length_c 8.8921
_cell_angle_alpha 90.00
_cell_angle_beta 108.58
_cell_angle_gamma 90.00
loop_
_atom_site_label
_atom_site_fract_x
_atom_site_fract_y
_atom_site_fract_z
Cs1 0.1910 0.0000 0.2226
Si1 0.0298 0.5000 0.2525
Ag1 0.0000 0.2729 0.5000
Se1 0.0641 0.2530 0.7977
Se2 0.1986 0.5000 0.3225
# **Uncorrected formation energy**: -0.558 eV/atom
# **Magnetization**: 0.00 μB per atom


3.
# PBE CsSiAg2Se4, relaxed
data_CsSiAg2Se4
_chemical_formula_sum 'Cs2 Si2 Ag4 Se8'
_symmetry_space_group_name_H-M 'I 2 2 2'
_symmetry_Int_Tables_number 23
_symmetry_space_group_name_Hall 'I 2 2'
_cell_length_a 6.9193
_cell_length_b 7.7430
_cell_length_c 8.8665
_cell_angle_alpha 90.00
_cell_angle_beta 90.00
_cell_angle_gamma 90.00
loop_
_atom_site_label
_atom_site_fract_x
_atom_site_fract_y
_atom_site_fract_z
Cs1 0.0000 0.0000 0.0000
Si1 0.0000 0.0000 0.5000
Ag1 0.0000 0.5000 0.1670
Se1 0.1904 0.1783 0.3557
# **Uncorrected formation energy**: -0.456 eV/atom
# **Magnetization**: 0.00 μB per atom